(1)
UTlPbCl6: relaxed, GGA-PBE.

Summary:
* formation energy from raw total energies: -1191.8 kJ/mol of formula units

Unit cell a=7.480 b=7.480 c=13.518 alpha=90.00 beta=90.00 gamma=120.00
Element x y z (fractional)
U 0.333 0.667 0.250
U 0.667 0.333 0.750
Tl 0.000 0.000 0.000
Tl 0.000 0.000 0.500
Pb 0.333 0.667 0.750
Pb 0.667 0.333 0.250
Cl 0.017 0.372 0.136
Cl 0.017 0.644 0.364
Cl 0.356 0.372 0.364
Cl 0.356 0.983 0.136
Cl 0.372 0.017 0.636
Cl 0.372 0.356 0.864
Cl 0.628 0.644 0.136
Cl 0.628 0.983 0.364
Cl 0.644 0.017 0.864
Cl 0.644 0.628 0.636
Cl 0.983 0.356 0.636
Cl 0.983 0.628 0.864

---

(2)
Ga3PO: relaxed, GGA-PBE.

Summary:
* DOS at the Fermi energy: 1.30 states/eV/cell
* energy relative to the lowest polymorph listed for this composition: 0.563 eV/atom
* formation energy from raw total energies: 255.6 kJ/mol of formula units

Unit cell a=4.807 b=4.807 c=4.807 alpha=90.00 beta=90.00 gamma=90.00
Element x y z (fractional)
Ga 0.000 0.000 0.500
Ga 0.000 0.500 0.000
Ga 0.500 0.000 0.000
P 0.000 0.000 0.000
O 0.500 0.500 0.500

---

(3)
CaGa4Pt2: relaxed, GGA-PBE.

Summary:
* energy relative to the elements: -721.1 meV/atom
* DOS at the Fermi energy: 11.43 states/eV/cell

Unit cell a=17.320 b=4.354 c=6.689 alpha=90.00 beta=90.00 gamma=90.00
Element x y z (fractional)
Ca 0.141 0.250 0.017
Ca 0.359 0.750 0.517
Ca 0.641 0.250 0.483
Ca 0.859 0.750 0.983
Ga 0.038 0.750 0.850
Ga 0.069 0.250 0.482
Ga 0.185 0.750 0.319
Ga 0.187 0.750 0.728
Ga 0.313 0.250 0.228
Ga 0.315 0.250 0.819
Ga 0.431 0.750 0.982
Ga 0.462 0.250 0.350
Ga 0.538 0.750 0.650
Ga 0.569 0.250 0.018
Ga 0.685 0.750 0.181
Ga 0.687 0.750 0.772
Ga 0.813 0.250 0.272
Ga 0.815 0.250 0.681
Ga 0.931 0.750 0.518
Ga 0.962 0.250 0.150
Pt 0.037 0.750 0.251
Pt 0.216 0.250 0.526
Pt 0.284 0.750 0.026
Pt 0.463 0.250 0.751
Pt 0.537 0.750 0.249
Pt 0.716 0.250 0.974
Pt 0.784 0.750 0.474
Pt 0.963 0.250 0.749

---

(4)
Cd2AsSe: relaxed, GGA-PBE.

Summary:
* DOS at the Fermi energy: 1.66 states/eV/cell
* energy relative to the lowest polymorph listed for this composition: 0.274 eV/atom
* formation energy from raw total energies: 36.9 kJ/mol of formula units

Unit cell a=3.846 b=3.846 c=5.995 alpha=90.00 beta=90.00 gamma=90.00
Element x y z (fractional)
Cd 0.000 0.000 0.245
Cd 0.000 0.000 0.755
As 0.500 0.500 0.000
Se 0.500 0.500 0.500

---

(5)
KSb2As: relaxed, GGA-PBE.

Summary:
* DOS at the Fermi energy: 2.04 states/eV/cell
* formation energy from raw total energies: 23.8 kJ/mol of formula units

Unit cell a=4.666 b=4.666 c=4.934 alpha=90.00 beta=90.00 gamma=90.00
Element x y z (fractional)
K 0.000 0.000 0.000
Sb 0.000 0.500 0.500
Sb 0.500 0.000 0.500
As 0.500 0.500 0.000

---

(6)
TiSi3Pd: relaxed, GGA-PBE.

Summary:
* DOS at the Fermi energy: 8.24 states/eV/cell
* formation energy from raw total energies: 370.6 kJ/mol of formula units

Unit cell a=4.644 b=4.644 c=4.644 alpha=90.00 beta=90.00 gamma=90.00
Element x y z (fractional)
Ti 0.000 0.000 0.000
Si 0.000 0.500 0.500
Si 0.500 0.000 0.500
Si 0.500 0.500 0.000
Pd 0.500 0.500 0.500